Computed, not measured: a relaxed InAg2W crystal at the PBE-GGA level of DFT.

Cell: 5.7404 10.0867 2.7903 Å, 90.00 115.17 90.00°
Fractional positions:
In1 0.0000 0.0000 0.0000
In2 0.5000 0.5000 0.0000
Ag1 0.2500 0.2500 0.5000
Ag2 0.2500 0.7500 0.5000
Ag3 0.7500 0.2500 0.5000
Ag4 0.7500 0.7500 0.5000
W1 0.0000 0.5000 0.0000
W2 0.5000 0.0000 0.0000

Values from the calculation:
ΔH_f (0 K) in eV per atom: 0.501
N(E_F) in states/eV/atom: 0.413
Crystal system: monoclinic